[1]
The following is a DFT calculation (PBE) of an optimized crystal structure of Si2AgHg.

Unit cell a=5.1983 b=5.1983 c=2.8166 alpha=90.00 beta=90.00 gamma=90.00
Positions (direct):
1 Si 0.5000 0.5000 0.0000
2 Si 0.0000 0.0000 0.0000
3 Ag 0.5000 0.0000 0.5000
4 Hg 0.0000 0.5000 0.5000

Output
The electronic total energy comes out at -11.772 eV/cell. Its uncorrected formation energy is 557 meV/atom. As for the crystal system: tetragonal. Its space-group type is P4/mmm, No. 123.



[2]
The following is a DFT calculation (PBE) of an optimized crystal structure of BaSc2Se.

Unit cell a=3.6963 b=6.1381 c=6.1894 alpha=62.48 beta=90.00 gamma=90.00
Positions (direct):
1 Sc 0.0000 0.4306 0.4307
2 Sc 0.0000 0.0694 0.0693
3 Se 0.5000 0.2500 0.2500
4 Ba 0.5000 0.7500 0.7500

Output
The electronic total energy comes out at -20.171 eV/cell. Its uncorrected formation energy is -525 meV/atom. As for the crystal system: monoclinic. Its space-group type is P2/m, No. 10.



[3]
The following is a DFT calculation (PBE) of an optimized crystal structure of Er3Zn3Ga2.

Unit cell a=4.3434 b=5.6584 c=14.4940 alpha=90.00 beta=90.00 gamma=112.57
Positions (direct):
1 Er 0.3681 0.7363 0.7500
2 Er 0.0909 0.1819 0.8910
3 Er 0.0909 0.1819 0.6090
4 Er 0.6319 0.2637 0.2500
5 Er 0.9091 0.8181 0.3910
6 Er 0.9091 0.8181 0.1090
7 Zn 0.6536 0.3073 0.7500
8 Zn 0.3857 0.7714 0.5357
9 Zn 0.6143 0.2286 0.0357
10 Zn 0.3857 0.7714 0.9643
11 Zn 0.3464 0.6927 0.2500
12 Zn 0.6143 0.2286 0.4643
13 Ga 0.7973 0.5947 0.8965
14 Ga 0.2027 0.4053 0.1035
15 Ga 0.2027 0.4053 0.3965
16 Ga 0.7973 0.5947 0.6035

Output
The electronic total energy comes out at -54.838 eV/cell. As for the formation energy: -0.48 eV/atom. As for the crystal system: orthorhombic. Its space-group type is Cmcm, No. 63.



[4]
The following is a DFT calculation (PBE) of an optimized crystal structure of Ce2Si7Au12.

Unit cell a=4.4219 b=10.1305 c=10.1305 alpha=120.00 beta=90.00 gamma=90.00
Site moments in Bohr magnetons follow the coordinates.
Positions (direct):
1 Au 0.7553 0.5463 0.6146  0.00
2 Au 0.2447 0.4537 0.3854  0.00
3 Au 0.7863 0.2622 0.1403  0.00
4 Au 0.2137 0.7378 0.8597  0.00
5 Au 0.2447 0.9317 0.5463  0.00
6 Au 0.7553 0.0683 0.4537  0.00
7 Au 0.7863 0.8781 0.7378  0.00
8 Au 0.2137 0.1403 0.8781  0.00
9 Au 0.7863 0.8597 0.1219  0.00
10 Au 0.2137 0.1219 0.2622  0.00
11 Au 0.2447 0.6146 0.0683  0.00
12 Au 0.7553 0.3854 0.9317  0.00
13 Ce 0.2420 0.3333 0.6667  0.80
14 Ce 0.7580 0.6667 0.3333  0.80
15 Si 0.7194 0.6021 0.8870  0.00
16 Si 0.7194 0.2849 0.3979  0.00
17 Si 0.2806 0.7151 0.6021  0.00
18 Si 0.2806 0.8870 0.2849  0.00
19 Si 0.5000 0.0000 0.0000  0.00
20 Si 0.7194 0.1130 0.7151  0.00
21 Si 0.2806 0.3979 0.1130  0.00

Output
The electronic total energy comes out at -94.139 eV/cell. Its uncorrected formation energy is -237 meV/atom. As for the crystal system: trigonal. Its space-group type is P-3, No. 147.



[5]
The following is a DFT calculation (PBE) of an optimized crystal structure of BaLiU2Se6.

Unit cell a=7.4595 b=7.4591 c=7.6475 alpha=60.80 beta=60.81 gamma=60.00
Site moments in Bohr magnetons follow the coordinates.
Positions (direct):
1 Se 0.7470 0.1917 0.7315  0.07
2 Se 0.1917 0.3298 0.7313  0.07
3 Se 0.2522 0.8814 0.2292  0.07
4 Se 0.8813 0.6373 0.2295  0.07
5 Se 0.6375 0.2521 0.2293  0.07
6 Se 0.3297 0.7471 0.7314  0.07
7 U 0.5142 0.5143 0.4574  -1.68
8 U 0.0053 0.0052 0.9843  -1.76
9 Ba 0.7779 0.7780 0.6663  0.00
10 Li 0.3249 0.3247 0.0250  0.00

Output
The electronic total energy comes out at -59.937 eV/cell. Its uncorrected formation energy is -1262 meV/atom. As for the crystal system: trigonal. Its space-group type is R3, No. 146.



[6]
The following is a DFT calculation (PBE) of an optimized crystal structure of Sc4ZnOs3.

Unit cell a=4.5684 b=6.5383 c=9.1374 alpha=90.00 beta=90.00 gamma=90.00
Positions (direct):
1 Sc 0.5000 0.7599 0.0000
2 Sc 0.5000 0.2401 0.5000
3 Sc 0.0001 0.2401 0.7500
4 Sc 0.5000 0.2401 0.0000
5 Sc 0.5000 0.7599 0.5000
6 Sc 0.9999 0.7599 0.2500
7 Sc 0.0001 0.7599 0.7500
8 Sc 0.9999 0.2401 0.2500
9 Os 0.5001 0.5000 0.7500
10 Os 0.4999 0.5000 0.2500
11 Os 0.5001 0.0000 0.7500
12 Os 0.4999 0.0000 0.2500
13 Os 0.0000 0.0000 0.0000
14 Os 0.0000 0.0000 0.5000
15 Zn 0.0000 0.5000 0.5000
16 Zn 0.0000 0.5000 0.0000

Output
The electronic total energy comes out at -127.311 eV/cell. As for the formation energy: -0.42 eV/atom. As for the crystal system: tetragonal. Its space-group type is P4/mmm, No. 123.



[7]
The following is a DFT calculation (PBE) of an optimized crystal structure of La3TbEr3S8.

Unit cell a=7.9086 b=7.9087 c=8.0889 alpha=119.27 beta=90.00 gamma=120.00
Positions (direct):
1 Er 0.5000 0.5000 0.5000
2 Er 0.0000 0.5000 0.5000
3 Er 0.5000 0.0000 0.5000
4 La 0.0000 0.0000 0.0000
5 La 0.0000 0.5000 0.0000
6 La 0.5000 0.5000 0.0000
7 S 0.2578 0.5156 0.2734
8 S 0.7537 0.0157 0.2694
9 S 0.2463 0.9843 0.7306
10 S 0.2621 0.0157 0.2693
11 S 0.7422 0.4844 0.7266
12 S 0.7379 0.9843 0.7307
13 S 0.2464 0.4927 0.7306
14 S 0.7536 0.5073 0.2694
15 Tb 0.0000 0.0000 0.5000

Output
The electronic total energy comes out at -97.567 eV/cell. Its uncorrected formation energy is -2096 meV/atom. As for the crystal system: trigonal. Its space-group type is R-3m, No. 166.



[8]
The following is a DFT calculation (PBE) of an optimized crystal structure of SmEr4Tm15.

Unit cell a=4.9436 b=4.9436 c=24.7317 alpha=90.00 beta=90.00 gamma=90.00
Positions (direct):
1 Er 0.0000 0.0000 0.7993
2 Er 0.0000 0.0000 0.4003
3 Er 0.0000 0.0000 0.2007
4 Er 0.0000 0.0000 0.5997
5 Tm 0.5000 0.5000 0.7988
6 Tm 0.5000 0.5000 0.4002
7 Tm 0.5000 0.5000 0.2012
8 Tm 0.5000 0.0000 0.5000
9 Tm 0.0000 0.5000 0.3006
10 Tm 0.5000 0.0000 0.6994
11 Tm 0.5000 0.5000 0.5998
12 Tm 0.0000 0.5000 0.8987
13 Tm 0.0000 0.5000 0.6994
14 Tm 0.5000 0.0000 0.3006
15 Tm 0.5000 0.5000 0.0000
16 Tm 0.0000 0.5000 0.5000
17 Tm 0.0000 0.5000 0.1013
18 Tm 0.5000 0.0000 0.8987
19 Tm 0.5000 0.0000 0.1013
20 Sm 0.0000 0.0000 0.0000

Output
The electronic total energy comes out at -89.516 eV/cell. As for the formation energy: 0.03 eV/atom. As for the crystal system: tetragonal. Its space-group type is P4/mmm, No. 123.



[9]
The following is a DFT calculation (PBE) of an optimized crystal structure of K2TaOs.

Unit cell a=12.4556 b=12.4556 c=12.4556 alpha=13.23 beta=13.23 gamma=13.23
Site moments in Bohr magnetons follow the coordinates.
Positions (direct):
1 K 0.9936 0.9936 0.9936  0.01
2 K 0.5064 0.5064 0.5064  0.01
3 Ta 0.7500 0.7500 0.7500  0.14
4 Os 0.2500 0.2500 0.2500  -0.03

Output
The electronic total energy comes out at -19.966 eV/cell. As for the formation energy: 1.33 eV/atom. The calculation puts the relative energy among the computed polymorphs at 728.1 meV per atom. As for the crystal system: trigonal. Its space-group type is R-3m, No. 166.



[10]
The following is a DFT calculation (PBE) of an optimized crystal structure of Be2Bi.

Unit cell a=3.3525 b=3.3598 c=9.6253 alpha=90.12 beta=99.76 gamma=90.00
Positions (direct):
1 Bi 0.1494 0.7518 0.3043
2 Bi 0.8506 0.2482 0.6957
3 Be 0.0364 0.2504 0.0756
4 Be 0.9636 0.7496 0.9244
5 Be 0.4660 0.2496 0.9298
6 Be 0.5340 0.7504 0.0702

Output
The electronic total energy comes out at -21.304 eV/cell. As for the formation energy: 0.23 eV/atom. The calculation puts the relative energy among the computed polymorphs at 29.8 meV per atom. As for the crystal system: triclinic. Its space-group type is P-1, No. 2.



Q: Which of these has the highest electronic total energy?
A: Si2AgHg